(1)
PBE POsBr2, optimized geometry; crystal system = tetragonal; formation energy from raw total energies = 352 meV/atom; SG = I-42d, No. 122
1.0
9.503 0.000 0.000
0.000 9.503 0.000
0.000 0.000 4.458
P Os Br
4 4 8
direct
0.000 0.000 0.000
0.000 0.500 0.250
0.500 0.000 0.750
0.500 0.500 0.500
0.000 0.000 0.500
0.000 0.500 0.750
0.500 0.000 0.250
0.500 0.500 0.000
0.102 0.250 0.625
0.250 0.602 0.875
0.250 0.898 0.375
0.398 0.250 0.125
0.602 0.750 0.125
0.750 0.102 0.375
0.750 0.398 0.875
0.898 0.750 0.625

(2)
PBE Pr6OsPd2, optimized geometry; crystal system = monoclinic; SG = P2_1/c, No. 14; energy relative to the elements = -0.34 eV per atom
1.0
6.837 0.000 0.000
0.000 7.639 0.000
-6.336 0.000 10.550
Pr Os Pd
12 2 4
direct
0.095 0.043 0.250
0.095 0.457 0.750
0.242 0.679 0.071
0.242 0.821 0.571
0.404 0.180 0.068
0.404 0.320 0.568
0.596 0.680 0.432
0.596 0.820 0.932
0.758 0.179 0.429
0.758 0.321 0.929
0.905 0.543 0.250
0.905 0.957 0.750
0.000 0.000 0.000
0.000 0.500 0.500
0.323 0.116 0.762
0.323 0.384 0.262
0.677 0.616 0.738
0.677 0.884 0.238

(3)
PBE Zn2TcAs, optimized geometry; crystal system = monoclinic; SG = C2/m, No. 12; energy relative to the elements = 0.17 eV per atom
1.0
10.195 0.000 0.000
0.000 2.867 0.000
-0.371 0.000 4.226
Zn Tc As
4 2 2
direct
0.234 0.000 0.240
0.266 0.500 0.760
0.734 0.500 0.240
0.766 0.000 0.760
0.000 0.500 0.000
0.500 0.000 0.000
0.000 0.000 0.500
0.500 0.500 0.500

(4)
PBE Nd3Dy3Hg2, optimized geometry; crystal system = orthorhombic; SG = Cmcm, No. 63; energy relative to the elements = -0.18 eV per atom
1.0
2.614 -5.931 0.000
2.614 5.931 0.000
0.000 0.000 15.984
Nd Dy Hg
6 6 4
direct
0.039 0.961 0.608
0.039 0.961 0.892
0.285 0.715 0.750
0.715 0.285 0.250
0.961 0.039 0.108
0.961 0.039 0.392
0.358 0.642 0.534
0.358 0.642 0.966
0.430 0.570 0.250
0.570 0.430 0.750
0.642 0.358 0.034
0.642 0.358 0.466
0.232 0.768 0.126
0.232 0.768 0.374
0.768 0.232 0.626
0.768 0.232 0.874

(5)
PBE TiSF2, optimized geometry; crystal system = trigonal; formation energy from raw total energies = -1727 meV/atom; SG = R-3m, No. 166
1.0
2.723 0.000 0.000
-1.361 2.358 0.000
0.000 0.000 29.955
Ti S F
3 3 6
direct
0.000 0.000 0.000
0.333 0.667 0.667
0.667 0.333 0.333
0.000 0.000 0.500
0.333 0.667 0.167
0.667 0.333 0.833
0.000 0.000 0.379
0.000 0.000 0.621
0.333 0.667 0.046
0.333 0.667 0.287
0.667 0.333 0.713
0.667 0.333 0.954

(6)
PBE Hf12Zr3In5, optimized geometry; crystal system = cubic; SG = Ia-3d, No. 230; energy relative to the elements = 0.87 eV per atom
1.0
-8.464 8.464 8.464
8.464 -8.464 8.464
8.464 8.464 -8.464
Hf Zr In
48 12 20
direct
0.072 0.648 0.421
0.072 0.924 0.651
0.076 0.227 0.148
0.076 0.349 0.928
0.079 0.727 0.651
0.079 0.852 0.428
0.148 0.076 0.227
0.148 0.572 0.921
0.151 0.227 0.579
0.151 0.424 0.572
0.227 0.148 0.076
0.227 0.579 0.151
0.273 0.349 0.921
0.273 0.424 0.352
0.349 0.921 0.273
0.349 0.928 0.076
0.352 0.273 0.424
0.352 0.579 0.928
0.421 0.072 0.648
0.421 0.849 0.773
0.424 0.352 0.273
0.424 0.572 0.151
0.428 0.079 0.852
0.428 0.849 0.576
0.572 0.151 0.424
0.572 0.921 0.148
0.576 0.428 0.849
0.576 0.648 0.727
0.579 0.151 0.227
0.579 0.928 0.352
0.648 0.421 0.072
0.648 0.727 0.576
0.651 0.072 0.924
0.651 0.079 0.727
0.727 0.576 0.648
0.727 0.651 0.079
0.773 0.421 0.849
0.773 0.852 0.924
0.849 0.576 0.428
0.849 0.773 0.421
0.852 0.428 0.079
0.852 0.924 0.773
0.921 0.148 0.572
0.921 0.273 0.349
0.924 0.651 0.072
0.924 0.773 0.852
0.928 0.076 0.349
0.928 0.352 0.579
0.125 0.250 0.375
0.125 0.375 0.750
0.250 0.375 0.125
0.250 0.875 0.625
0.375 0.125 0.250
0.375 0.750 0.125
0.625 0.250 0.875
0.625 0.875 0.750
0.750 0.125 0.375
0.750 0.625 0.875
0.875 0.625 0.250
0.875 0.750 0.625
0.000 0.000 0.000
0.000 0.000 0.500
0.000 0.500 0.000
0.000 0.500 0.500
0.125 0.750 0.875
0.125 0.875 0.250
0.250 0.125 0.875
0.250 0.625 0.375
0.375 0.250 0.625
0.375 0.625 0.750
0.500 0.000 0.000
0.500 0.000 0.500
0.500 0.500 0.000
0.500 0.500 0.500
0.625 0.375 0.250
0.625 0.750 0.375
0.750 0.375 0.625
0.750 0.875 0.125
0.875 0.125 0.750
0.875 0.250 0.125

(7)
PBE NdTmCl6, optimized geometry; crystal system = trigonal; formation energy from raw total energies = -2243 meV/atom; SG = R-3, No. 148
1.0
3.398 1.962 6.187
-3.398 1.962 6.187
0.000 -3.923 6.187
Nd Tm Cl
1 1 6
direct
0.000 0.000 0.000
0.500 0.500 0.500
0.111 0.741 0.404
0.259 0.596 0.889
0.404 0.111 0.741
0.596 0.889 0.259
0.741 0.404 0.111
0.889 0.259 0.596

(8)
PBE Ca2ZnBi2, optimized geometry; crystal system = tetragonal; SG = P4/mbm, No. 127; energy relative to the elements = -0.45 eV per atom
1.0
7.987 0.000 0.000
0.000 7.987 0.000
0.000 0.000 4.709
Ca Zn Bi
4 2 4
direct
0.168 0.332 0.000
0.332 0.832 0.000
0.668 0.168 0.000
0.832 0.668 0.000
0.000 0.000 0.500
0.500 0.500 0.500
0.142 0.642 0.500
0.358 0.142 0.500
0.642 0.858 0.500
0.858 0.358 0.500

(9)
PBE Th2PaAg, optimized geometry; crystal system = trigonal; SG = R-3m, No. 166; energy relative to the elements = 0.36 eV per atom
1.0
3.292 0.000 0.000
-1.646 2.851 0.000
0.000 0.000 35.285
Th Pa Ag
6 3 3
direct
0.000 0.000 0.091
0.000 0.000 0.909
0.333 0.667 0.576
0.333 0.667 0.757
0.667 0.333 0.243
0.667 0.333 0.424
0.000 0.000 0.000
0.333 0.667 0.667
0.667 0.333 0.333
0.000 0.000 0.500
0.333 0.667 0.167
0.667 0.333 0.833

(10)
PBE Ba2MnBe, optimized geometry; crystal system = tetragonal; SG = P4/mmm, No. 123; energy relative to the elements = 0.66 eV per atom
1.0
5.685 0.000 0.000
0.000 5.685 0.000
0.000 0.000 4.033
Ba Mn Be
2 1 1
direct
0.000 0.500 0.000
0.500 0.000 0.000
0.000 0.000 0.500
0.500 0.500 0.500

(11)
PBE Rb3Er2HfSe6, optimized geometry; crystal system = monoclinic; formation energy from raw total energies = -1547 meV/atom; SG = C2/m, No. 12
1.0
3.554 -6.156 0.000
3.554 6.156 0.000
-2.372 0.000 8.006
Rb Er Hf Se
3 2 1 6
direct
0.000 0.000 0.000
0.330 0.670 0.000
0.670 0.330 0.000
0.166 0.834 0.500
0.834 0.166 0.500
0.500 0.500 0.500
0.116 0.436 0.307
0.245 0.245 0.694
0.436 0.116 0.307
0.564 0.884 0.693
0.755 0.755 0.306
0.884 0.564 0.693

(12)
PBE Ca3In3Rh2, optimized geometry; crystal system = orthorhombic; SG = Pnma, No. 62; energy relative to the elements = -0.51 eV per atom
1.0
8.226 0.000 0.000
0.000 16.190 0.000
0.000 0.000 5.998
Ca In Rh
12 12 8
direct
0.038 0.111 0.095
0.038 0.389 0.095
0.178 0.250 0.632
0.322 0.750 0.132
0.462 0.611 0.595
0.462 0.889 0.595
0.538 0.111 0.405
0.538 0.389 0.405
0.678 0.250 0.868
0.822 0.750 0.368
0.962 0.611 0.905
0.962 0.889 0.905
0.165 0.750 0.621
0.172 0.037 0.596
0.172 0.463 0.596
0.328 0.537 0.096
0.328 0.963 0.096
0.335 0.250 0.121
0.665 0.750 0.879
0.672 0.037 0.904
0.672 0.463 0.904
0.828 0.537 0.404
0.828 0.963 0.404
0.835 0.250 0.379
0.123 0.610 0.382
0.123 0.890 0.382
0.377 0.110 0.882
0.377 0.390 0.882
0.623 0.610 0.118
0.623 0.890 0.118
0.877 0.110 0.618
0.877 0.390 0.618

Number 1: DFT total energy -4.645 eV/atom. Number 2: DFT total energy -5.933 eV/atom. Number 3: DFT total energy -4.221 eV/atom. Number 4: DFT total energy -3.769 eV/atom. Number 5: DFT total energy -5.668 eV/atom. Number 6: DFT total energy -7.067 eV/atom. Number 7: DFT total energy -4.783 eV/atom. Number 8: DFT total energy -3.057 eV/atom. Number 9: DFT total energy -6.441 eV/atom. Number 10: DFT total energy -3.521 eV/atom. Number 11: DFT total energy -5.121 eV/atom. Number 12: DFT total energy -4.127 eV/atom.